Entry 1:
4
Lattice="5.959 -0.089 -0.058 4.015 4.404 -0.058 4.015 1.737 4.047" Properties=species:S:1:pos:R:3 comment="SrAg2Cl, relaxed, DFT PBE-GGA" magnetic_moment_mub_per_fu=0.000 n_ef_per_ev_atom=0.80 e_above_lowest_polymorph_mev_per_atom=579 pbc="T T T"
Sr 10.492 4.539 2.949
Ag 7.411 3.206 2.083
Ag 13.573 5.872 3.815
Cl 3.497 1.513 0.983

Entry 2:
11
Lattice="-0.891 0.550 6.595 -6.066 -7.565 -0.189 9.490 -1.428 1.401" Properties=species:S:1:pos:R:3 comment="Ba8HPt2, relaxed, DFT PBE-GGA" magnetic_moment_mub_per_fu=0.000 n_ef_per_ev_atom=1.13 dft_energy_ry_per_atom=-0.22338 pbc="T T T"
Ba 6.427 -1.966 6.054
Ba 4.090 -3.341 2.462
Ba 1.202 -7.243 2.506
Ba -1.557 -5.102 5.345
Ba 3.170 -6.028 5.953
Ba 1.331 -1.200 5.302
Ba -3.894 -6.476 1.753
Ba -0.637 -2.414 1.855
Pt 3.642 -3.064 5.776
Pt -1.109 -5.378 2.031
H -0.445 0.275 3.297

Entry 3:
4
Lattice="6.832 0.006 0.007 3.458 5.892 -0.007 -5.000 -3.202 3.380" Properties=species:S:1:pos:R:3 comment="BaHgTe2, relaxed, DFT PBE-GGA" magnetic_moment_mub_per_fu=0.000 n_ef_per_ev_atom=0.77 dft_energy_ry_per_atom=-0.20561 pbc="T T T"
Ba 5.121 2.936 0.000
Te 3.621 -0.047 1.694
Te 0.107 0.061 0.000
Hg 1.585 2.696 1.686

Entry 4:
4
Lattice="-0.265 3.754 1.180 -3.249 -0.879 2.067 3.150 -1.177 4.452" Properties=species:S:1:pos:R:3 comment="YZrSi2, relaxed, DFT PBE-GGA" magnetic_moment_mub_per_fu=0.000 n_ef_per_ev_atom=0.62 e_above_lowest_polymorph_mev_per_atom=287 pbc="T T T"
Y 1.181 -0.441 1.670
Zr 0.999 0.408 5.519
Si 2.756 -1.030 3.895
Si -0.576 0.996 3.293

Entry 5:
4
Lattice="5.295 -0.057 0.019 3.611 3.872 0.019 2.010 0.861 6.004" Properties=species:S:1:pos:R:3 comment="SrCd2Cl, relaxed, DFT PBE-GGA" magnetic_moment_mub_per_fu=0.000 n_ef_per_ev_atom=0.53 e_above_lowest_polymorph_mev_per_atom=32 pbc="T T T"
Cd 8.163 3.497 5.095
Sr 2.837 1.215 1.990
Cd 1.885 0.807 5.544
Cl 5.499 2.355 2.437

Entry 6:
4
Lattice="3.047 0.000 0.000 0.000 3.047 0.000 0.000 0.000 9.352" Properties=species:S:1:pos:R:3 comment="YTa2In, relaxed, DFT PBE-GGA" magnetic_moment_mub_per_fu=0.000 n_ef_per_ev_atom=0.94 dft_energy_ry_per_atom=-0.59099 pbc="T T T"
Ta 1.524 1.524 2.168
Y 0.000 0.000 4.601
In 1.524 1.524 7.190
Ta 0.000 0.000 0.069

Entry 7:
6
Lattice="-0.662 3.337 2.781 -0.326 -2.843 3.334 9.768 0.389 -1.598" Properties=species:S:1:pos:R:3 comment="BaBiH, relaxed, DFT PBE-GGA" magnetic_moment_mub_per_fu=0.000 n_ef_per_ev_atom=0.24 e_above_lowest_polymorph_mev_per_atom=126 pbc="T T T"
H -0.163 -1.421 1.667
Ba 7.081 0.766 4.254
Bi 5.128 0.352 0.813
Ba 1.700 0.116 0.263
Bi 3.652 0.531 3.704
H -0.331 1.668 1.390

Entry 8:
20
Lattice="5.175 0.000 0.000 0.000 5.175 0.000 0.000 0.000 26.258" Properties=species:S:1:pos:R:3 comment="Pr15Nd4In, relaxed, DFT PBE-GGA" magnetic_moment_mub_per_fu=0.000 n_ef_per_ev_atom=1.37 dft_energy_ry_per_atom=-0.34645 pbc="T T T"
Nd 0.000 0.000 10.480
Pr 0.000 2.587 23.762
Pr 2.587 0.000 23.762
Pr 2.587 0.000 18.452
Pr 0.000 2.587 7.805
Pr 2.587 0.000 2.495
Pr 0.000 2.587 13.129
Nd 0.000 0.000 21.097
Pr 2.587 0.000 13.129
Pr 2.587 2.587 10.462
Nd 0.000 0.000 5.161
Pr 0.000 2.587 2.495
Pr 2.587 2.587 15.796
Pr 2.587 2.587 5.142
In 0.000 0.000 0.000
Pr 2.587 2.587 0.000
Pr 2.587 0.000 7.805
Pr 0.000 2.587 18.452
Pr 2.587 2.587 21.115
Nd 0.000 0.000 15.778